No. 1
## Ir2PtRh (meta-GGA SCAN)

Data for a PBEsol-optimized structure of Ir2PtRh.

a = 3.832 Å, b = 3.832 Å, c = 7.692 Å
α = 90.00°, β = 90.00°, γ = 90.00°
Space group I4/mmm (No. 139)
Unique sites:
Ir1 0.000 0.500 0.250 [4 per cell]
Pt1 0.000 0.000 0.000 [2 per cell]
Rh1 0.000 0.000 0.500 [2 per cell]

Summary:
Spin magnetization in μB/f.u.: 0.00
Electronic total energy in eV/atom: -61.49
Energy above the most stable polymorph in this dataset in kJ/mol of formula units: 22
V in Å³/cell: 112.9
Crystal system: tetragonal



No. 2
## IrPt2Rh (meta-GGA SCAN)

Data for a PBEsol-optimized structure of IrPt2Rh.

a = 2.7408 Å, b = 2.7408 Å, c = 26.4881 Å
α = 90.00°, β = 90.00°, γ = 120.00°
Space group R-3m (No. 166, hexagonal axes)
Unique sites:
Ir1 0.0000 0.0000 0.0000 [3 per cell]
Pt1 0.0000 0.0000 0.2497 [6 per cell]
Rh1 0.0000 0.0000 0.5000 [3 per cell]

Summary:
Spin magnetization in μB/f.u.: 0.00
Electronic total energy in eV/atom: -61.26
Energy above the most stable polymorph in this dataset in kJ/mol of formula units: 24
V in Å³/cell: 172.3
Crystal system: trigonal



No. 3
## IrPt2Rh (meta-GGA SCAN)

Data for a PBEsol-optimized structure of IrPt2Rh.

a = 3.862 Å, b = 3.862 Å, c = 7.691 Å
α = 90.00°, β = 90.00°, γ = 90.00°
Space group I4/mmm (No. 139)
Unique sites:
Ir1 0.000 0.000 0.000 [2 per cell]
Pt1 0.000 0.500 0.250 [4 per cell]
Rh1 0.000 0.000 0.500 [2 per cell]

Summary:
Spin magnetization in μB/f.u.: 0.01
Electronic total energy in eV/atom: -61.27
Energy above the most stable polymorph in this dataset in kJ/mol of formula units: 20
V in Å³/cell: 114.7
Crystal system: tetragonal



No. 4
## IrPtRh2 (meta-GGA SCAN)

Data for a PBEsol-optimized structure of IrPtRh2.

a = 3.818 Å, b = 3.818 Å, c = 7.657 Å
α = 90.00°, β = 90.00°, γ = 90.00°
Space group I-4m2 (No. 119)
Unique sites:
Ir1 0.000 0.000 0.000 [2 per cell]
Pt1 0.000 0.500 0.250 [2 per cell]
Rh1 0.000 0.000 0.500 [2 per cell]
Rh2 0.000 0.500 0.750 [2 per cell]

Summary:
Spin magnetization in μB/f.u.: 0.00
Electronic total energy in eV/atom: -52.22
Energy above the most stable polymorph in this dataset in kJ/mol of formula units: 19
V in Å³/cell: 111.6
Crystal system: tetragonal



In order of appearance, DOS at the Fermi energy = 9.03; 15.50; 10.45; 8.97 states/eV per cell.
In order of appearance, formation energy from the elements = 0.049; 0.055; 0.046; -0.009 eV/atom.